No. 1
First-principles (PBE) data for a geometry-optimized DyCd2Hg3 structure, as listed in the Alexandria database.

Total energy ... -1.40 eV/atom
Calculated formation energy ... -175 meV/atom
Magnetization ... 0.00 μB per formula unit

```
DyCd2Hg3
1.0
7.663 -2.373 0.000
7.663 2.373 0.000
-4.960 0.000 8.076
Dy Cd Hg
2 4 6
direct
0.136 0.136 0.002 Dy
0.864 0.864 0.998 Dy
0.283 0.283 0.443 Cd
0.440 0.440 0.821 Cd
0.560 0.560 0.179 Cd
0.717 0.717 0.557 Cd
0.051 0.051 0.385 Hg
0.235 0.235 0.768 Hg
0.386 0.386 0.231 Hg
0.614 0.614 0.769 Hg
0.765 0.765 0.232 Hg
0.949 0.949 0.615 Hg
```

---

No. 2
First-principles (PBE) data for a geometry-optimized DyCd3Hg3 structure, as listed in the Alexandria database.

Total energy ... -1.32 eV/atom
Calculated formation energy ... -142 meV/atom
Magnetization ... 0.00 μB per formula unit

```
DyCd3Hg3
1.0
3.239 1.870 9.860
-3.239 1.870 9.860
0.000 -3.740 9.860
Dy Cd Hg
2 6 6
direct
0.201 0.201 0.201 Dy
0.799 0.799 0.799 Dy
0.138 0.138 0.611 Cd
0.138 0.611 0.138 Cd
0.389 0.862 0.862 Cd
0.611 0.138 0.138 Cd
0.862 0.389 0.862 Cd
0.862 0.862 0.389 Cd
0.230 0.710 0.710 Hg
0.290 0.290 0.770 Hg
0.290 0.770 0.290 Hg
0.710 0.230 0.710 Hg
0.710 0.710 0.230 Hg
0.770 0.290 0.290 Hg
```

---

No. 3
First-principles (PBE) data for a geometry-optimized Dy6Cd5Hg structure, as listed in the Alexandria database.

Total energy ... -3.05 eV/atom
Calculated formation energy ... -346 meV/atom
Magnetization ... 0.00 μB per formula unit

```
Dy6Cd5Hg
1.0
5.279 0.000 0.000
0.000 7.483 0.000
-2.616 0.000 7.942
Dy Cd Hg
6 5 1
direct
0.000 0.247 0.000 Dy
0.000 0.753 0.000 Dy
0.335 0.250 0.669 Dy
0.335 0.750 0.669 Dy
0.665 0.250 0.331 Dy
0.665 0.750 0.331 Dy
0.168 0.500 0.335 Cd
0.171 0.000 0.341 Cd
0.500 0.500 0.000 Cd
0.829 0.000 0.659 Cd
0.832 0.500 0.665 Cd
0.500 0.000 0.000 Hg
```

---

No. 4
First-principles (PBE) data for a geometry-optimized DyCd12Hg7 structure, as listed in the Alexandria database.

Total energy ... -0.88 eV/atom
Calculated formation energy ... 1 meV/atom
Magnetization ... 0.00 μB per formula unit

```
DyCd12Hg7
1.0
7.402 4.274 2.602
-7.402 4.274 2.602
0.000 -8.547 2.602
Dy Cd Hg
1 12 7
direct
0.000 0.000 0.000 Dy
0.107 0.783 0.344 Cd
0.170 0.530 0.492 Cd
0.217 0.656 0.893 Cd
0.344 0.107 0.783 Cd
0.470 0.508 0.830 Cd
0.492 0.170 0.530 Cd
0.508 0.830 0.470 Cd
0.530 0.492 0.170 Cd
0.656 0.893 0.217 Cd
0.783 0.344 0.107 Cd
0.830 0.470 0.508 Cd
0.893 0.217 0.656 Cd
0.087 0.135 0.414 Hg
0.135 0.414 0.087 Hg
0.414 0.087 0.135 Hg
0.500 0.500 0.500 Hg
0.586 0.913 0.865 Hg
0.865 0.586 0.913 Hg
0.913 0.865 0.586 Hg
```

---

No. 5
First-principles (PBE) data for a geometry-optimized DyCdHg2 structure, as listed in the Alexandria database.

Total energy ... -1.72 eV/atom
Calculated formation energy ... -189 meV/atom
Magnetization ... 0.00 μB per formula unit

```
DyCdHg2
1.0
3.774 0.000 0.000
-1.887 3.269 0.000
0.000 0.000 25.760
Dy Cd Hg
3 3 6
direct
0.000 0.000 0.000 Dy
0.333 0.667 0.667 Dy
0.667 0.333 0.333 Dy
0.000 0.000 0.167 Cd
0.333 0.667 0.834 Cd
0.667 0.333 0.500 Cd
0.000 0.000 0.419 Hg
0.000 0.000 0.581 Hg
0.333 0.667 0.085 Hg
0.333 0.667 0.248 Hg
0.667 0.333 0.752 Hg
0.667 0.333 0.915 Hg
```

---

No. 6
First-principles (PBE) data for a geometry-optimized Dy7Cd2Hg2 structure, as listed in the Alexandria database.

Total energy ... -3.18 eV/atom
Calculated formation energy ... -30 meV/atom
Magnetization ... 0.00 μB per formula unit

```
Dy7Cd2Hg2
1.0
3.874 -5.563 0.000
3.874 5.563 0.000
0.000 0.000 7.784
Dy Cd Hg
7 2 2
direct
0.000 0.000 0.000 Dy
0.000 0.500 0.285 Dy
0.000 0.500 0.715 Dy
0.500 0.000 0.285 Dy
0.500 0.000 0.715 Dy
0.500 0.500 0.261 Dy
0.500 0.500 0.739 Dy
0.177 0.177 0.500 Cd
0.823 0.823 0.500 Cd
0.293 0.707 0.000 Hg
0.707 0.293 0.000 Hg
```

---

No. 7
First-principles (PBE) data for a geometry-optimized Dy2CdHg4 structure, as listed in the Alexandria database.

Total energy ... -1.55 eV/atom
Calculated formation energy ... 67 meV/atom
Magnetization ... 0.00 μB per formula unit

```
Dy2CdHg4
1.0
5.371 0.000 0.000
0.000 5.371 0.000
0.000 0.000 15.251
Dy Cd Hg
4 2 8
direct
0.000 0.000 0.111 Dy
0.000 0.000 0.889 Dy
0.500 0.500 0.389 Dy
0.500 0.500 0.611 Dy
0.000 0.000 0.500 Cd
0.500 0.500 0.000 Cd
0.000 0.000 0.307 Hg
0.000 0.000 0.693 Hg
0.000 0.500 0.000 Hg
0.000 0.500 0.500 Hg
0.500 0.000 0.000 Hg
0.500 0.000 0.500 Hg
0.500 0.500 0.193 Hg
0.500 0.500 0.807 Hg
```

---

No. 8
First-principles (PBE) data for a geometry-optimized Dy2Cd2Hg3 structure, as listed in the Alexandria database.

Total energy ... -1.97 eV/atom
Calculated formation energy ... -265 meV/atom
Magnetization ... 0.00 μB per formula unit

```
Dy2Cd2Hg3
1.0
8.683 0.000 0.000
0.000 5.014 0.000
-2.876 0.000 8.276
Dy Cd Hg
4 4 6
direct
0.114 0.000 0.343 Dy
0.386 0.500 0.657 Dy
0.614 0.500 0.343 Dy
0.886 0.000 0.657 Dy
0.132 0.500 0.897 Cd
0.368 0.000 0.103 Cd
0.632 0.000 0.897 Cd
0.868 0.500 0.103 Cd
0.000 0.500 0.500 Hg
0.249 0.500 0.246 Hg
0.251 0.000 0.754 Hg
0.500 0.000 0.500 Hg
0.749 0.000 0.246 Hg
0.751 0.500 0.754 Hg
```